[1]
Here is Pm2ScH12Rh3 after structural relaxation from the Alexandria database. Energies are from PBE-GGA.

Summary:
The crystal system is trigonal. For the raw total energy, the calculation gives -4.7140 eV per atom.

```
Pm2ScH12Rh3
1.0
-2.3236 -1.1910 5.3673
2.2910 -4.8108 2.6896
3.6122 1.2047 4.5964
Rh Sc Pm H
3 1 2 12
Direct
0.5000 0.0000 0.0000
0.0000 0.0000 0.5000
0.0000 0.5000 0.0000
0.0000 0.0000 0.0000
0.6179 0.6179 0.6179
0.3821 0.3821 0.3821
0.1277 0.6081 0.1277
0.8723 0.8723 0.3919
0.6964 0.6964 0.1325
0.6081 0.1277 0.1277
0.1277 0.1277 0.6081
0.6964 0.1325 0.6964
0.8675 0.3036 0.3036
0.3036 0.3036 0.8675
0.3036 0.8675 0.3036
0.3919 0.8723 0.8723
0.1325 0.6964 0.6964
0.8723 0.3919 0.8723
```

=====

[2]
Here is PmSiHRh after structural relaxation from the Alexandria database. Energies are from PBE-GGA.

Summary:
The crystal system is tetragonal. For the raw total energy, the calculation gives -6.1438 eV per atom.

```
PmSiHRh
1.0
-0.5061 0.5028 -3.9906
-3.8290 -1.2915 0.3230
-2.3099 7.1470 1.1934
Rh Pm H Si
2 2 2 2
Direct
0.5000 0.5000 0.0000
0.0000 0.0000 0.0000
0.5000 0.0000 0.6595
0.0000 0.5000 0.3405
0.5000 0.5000 0.5000
0.0000 0.0000 0.5000
0.5000 0.0000 0.1694
0.0000 0.5000 0.8306
```

=====

[3]
Here is Pm2SnHRh6 after structural relaxation from the Alexandria database. Energies are from PBE-GGA.

Summary:
The crystal system is monoclinic. For the raw total energy, the calculation gives -6.4969 eV per atom.

```
Pm2SnHRh6
1.0
-1.2107 6.0373 -1.3263
-2.2468 -1.6718 -5.6490
-5.8897 1.8730 -1.9496
Rh Pm H Sn
6 2 1 1
Direct
0.7163 0.2837 0.0003
0.2751 0.2748 0.4334
0.2749 0.2750 0.0155
0.2837 0.7163 0.9997
0.7249 0.7252 0.5666
0.7251 0.7250 0.9845
0.7436 0.2565 0.5001
0.2564 0.7435 0.4999
0.5000 0.5000 0.0000
0.0000 0.0000 0.0000
```

=====

[4]
Here is PmSnH8Rh2 after structural relaxation from the Alexandria database. Energies are from PBE-GGA.

Summary:
The crystal system is trigonal. For the raw total energy, the calculation gives -4.2364 eV per atom.

```
PmSnH8Rh2
1.0
4.0431 0.0000 0.0000
2.0215 3.5014 0.0000
2.0215 1.1671 8.2463
Rh Sn H Pm
2 1 8 1
Direct
0.2530 0.2530 0.2409
0.7470 0.7470 0.7591
0.0000 0.0000 0.0000
0.1851 0.1851 0.4447
0.8239 0.6674 0.2393
0.3326 0.7307 0.7607
0.1761 0.3326 0.7607
0.2693 0.8239 0.2393
0.7307 0.1761 0.7607
0.8149 0.8149 0.5553
0.6674 0.2693 0.2393
0.5000 0.5000 0.5000
```

=====

[5]
Here is PmTeH2Rh2 after structural relaxation from the Alexandria database. Energies are from PBE-GGA.

Summary:
The crystal system is monoclinic. For the raw total energy, the calculation gives -5.3575 eV per atom.

```
PmTeH2Rh2
1.0
-0.1552 -5.3539 -1.9004
4.4085 0.8245 -2.6830
2.4529 -2.1146 5.7572
Pm Rh H Te
2 4 4 2
Direct
0.7500 0.2684 0.6441
0.2500 0.7316 0.3559
0.0020 0.1717 0.2103
0.4980 0.1717 0.2103
0.9980 0.8283 0.7897
0.5020 0.8283 0.7897
0.7500 0.3437 0.3100
0.2500 0.2365 0.3813
0.7500 0.7635 0.6187
0.2500 0.6563 0.6901
0.2500 0.2615 0.8858
0.7500 0.7385 0.1142
```

=====

[6]
Here is Pm2TlH6Rh2 after structural relaxation from the Alexandria database. Energies are from PBE-GGA.

Summary:
The crystal system is trigonal. For the raw total energy, the calculation gives -4.5740 eV per atom.

```
Pm2TlH6Rh2
1.0
4.8379 0.0000 0.0000
2.4189 4.1897 0.0000
2.4189 1.3966 6.6514
H Tl Rh Pm
6 1 2 2
Direct
0.2802 0.2802 0.6719
0.7198 0.2323 0.3281
0.7677 0.2802 0.6719
0.2802 0.7677 0.6719
0.7198 0.7198 0.3281
0.2323 0.7198 0.3281
0.0000 0.0000 0.0000
0.6128 0.6128 0.1615
0.3872 0.3872 0.8385
0.2261 0.2261 0.3218
0.7739 0.7739 0.6782
```

=====

[7]
Here is PmTmH8Rh2 after structural relaxation from the Alexandria database. Energies are from PBE-GGA.

Summary:
The crystal system is trigonal. For the raw total energy, the calculation gives -4.5394 eV per atom.

```
PmTmH8Rh2
1.0
-0.6014 3.3938 3.4575
-1.9364 -1.2238 4.3112
4.4969 -0.4387 4.6595
H Pm Rh Tm
8 1 2 1
Direct
0.3522 0.8929 0.1846
0.5704 0.3522 0.1846
0.8217 0.8217 0.5350
0.6478 0.1071 0.8154
0.4296 0.6478 0.8154
0.1071 0.4296 0.8154
0.1783 0.1783 0.4650
0.8929 0.5704 0.1846
0.5000 0.5000 0.5000
0.2699 0.2699 0.1902
0.7301 0.7301 0.8098
0.0000 0.0000 0.0000
```

=====

[8]
Here is PmZnH8Rh4 after structural relaxation from the Alexandria database. Energies are from PBE-GGA.

Summary:
The crystal system is trigonal. For the raw total energy, the calculation gives -4.6549 eV per atom.

```
PmZnH8Rh4
1.0
5.7526 0.0000 0.0000
2.8763 4.9819 0.0000
2.8763 1.6606 4.5017
H Rh Pm Zn
8 4 1 1
Direct
0.6930 0.6930 0.3438
0.6930 0.2701 0.3438
0.2701 0.6930 0.3438
0.2329 0.2329 0.6753
0.8588 0.2329 0.6753
0.2329 0.8588 0.6753
0.7662 0.7662 0.7014
0.2227 0.2227 0.3320
0.6332 0.6332 0.1003
0.5099 0.0038 0.4825
0.0038 0.0038 0.4825
0.0038 0.5099 0.4825
0.3860 0.3860 0.8419
0.9934 0.9934 0.0197
```

=====

[9]
Here is PmH7Ru2 after structural relaxation from the Alexandria database. Energies are from PBE-GGA.

Summary:
The crystal system is orthorhombic. For the raw total energy, the calculation gives -4.8699 eV per atom.

```
PmH7Ru2
1.0
-3.0472 -1.3193 1.3704
2.7038 -2.8346 3.2831
-1.2454 4.6528 1.7101
H Pm Ru
7 1 2
Direct
0.0000 0.3004 0.6996
0.5000 0.9411 0.6686
0.5000 0.6686 0.9411
0.5000 0.3314 0.0589
0.5000 0.0589 0.3314
0.0000 0.6996 0.3004
0.5000 0.5000 0.5000
0.0000 0.0000 0.0000
0.5000 0.3020 0.6980
0.5000 0.6980 0.3020
```

=====

[10]
Here is Pm6HRu2 after structural relaxation from the Alexandria database. Energies are from PBE-GGA.

Summary:
The crystal system is monoclinic. Its offset from the most stable computed form is 12.2 kJ per mole of atoms.

```
Pm6HRu2
1.0
-1.0872 0.4010 3.5263
5.4140 -1.1899 3.7581
4.2625 9.6781 2.1673
Pm Ru H
6 2 1
Direct
0.6527 0.2455 0.4490
0.0143 0.7359 0.2354
0.8119 0.2663 0.1100
0.1881 0.7337 0.8900
0.9857 0.2641 0.7646
0.3473 0.7545 0.5510
0.3298 0.0397 0.3006
0.6702 0.9603 0.6994
0.0000 0.0000 0.0000
```

=====

[11]
Here is Pm2H5Ru after structural relaxation from the Alexandria database. Energies are from PBE-GGA.

Summary:
The crystal system is tetragonal. For the raw total energy, the calculation gives -4.9522 eV per atom.

```
Pm2H5Ru
1.0
5.0539 0.0000 -0.0001
0.0001 5.0539 -0.0001
-2.5268 -2.5268 3.7401
H Pm Ru
5 2 1
Direct
0.7626 0.7626 0.0121
0.2495 0.2495 0.0120
0.7548 0.7548 0.5096
0.2495 0.7626 0.0120
0.7626 0.2495 0.0121
0.2512 0.7512 0.5023
0.7511 0.2512 0.5023
0.9958 0.9958 0.9916
```

=====

[12]
Here is PmH4Ru after structural relaxation from the Alexandria database. Energies are from PBE-GGA.

Summary:
The crystal system is monoclinic. Its offset from the most stable computed form is 9.1 kJ per mole of atoms.

```
PmH4Ru
1.0
5.4886 -1.1710 0.0000
-2.8716 5.5977 0.0000
-1.3085 -2.2133 4.7001
Pm H Ru
2 8 2
Direct
0.3888 0.6388 0.2776
0.6112 0.3612 0.7224
0.0831 0.1173 0.2468
0.0656 0.7307 0.1502
0.3364 0.8706 0.7532
0.9169 0.8827 0.7532
0.9344 0.2693 0.8498
0.5845 0.4195 0.1502
0.6636 0.1294 0.2468
0.4155 0.5805 0.8498
0.7007 0.9507 0.9015
0.2993 0.0493 0.0985
```